DFT (GGA+U) results for crystalline ZrCrO3 at its relaxed geometry.

Unit cell a=4.975 b=5.393 c=9.356 alpha=90.00 beta=90.00 gamma=90.00
Last column: magnetic moment on the atom in μB.
Fractional positions:
O 0.309 0.861 0.250  0.04
O 0.284 0.723 0.899  -0.02
O 0.191 0.361 0.250  0.04
O 0.216 0.223 0.601  -0.02
O 0.216 0.223 0.899  -0.02
O 0.284 0.723 0.601  -0.02
O 0.716 0.277 0.399  -0.02
O 0.691 0.139 0.750  0.04
O 0.809 0.639 0.750  0.04
O 0.716 0.277 0.101  -0.02
O 0.784 0.777 0.399  -0.02
O 0.784 0.777 0.101  -0.02
Zr 0.047 0.960 0.750  0.03
Zr 0.453 0.460 0.750  0.03
Zr 0.547 0.540 0.250  0.03
Zr 0.953 0.040 0.250  0.03
Cr 0.500 0.000 0.000  3.77
Cr 0.500 0.000 0.500  3.77
Cr 0.000 0.500 0.500  3.77
Cr 0.000 0.500 0.000  3.77

Crystal system = orthorhombic
Symmetry = Pnma (62)
Total energy = -8.777 eV/atom